Density functional theory data (PBE) for MgPaBi2 after structural relaxation.

Cell and atoms, written as extended XYZ:
```
4
Lattice="1.6766 0.9680 12.0983 -1.6766 0.9680 12.0983 0.0000 -1.9360 12.0983" Properties=species:S:1:pos:R:3 pbc="T T T"
Mg 0.0000 0.0000 0.0000
Pa 0.0000 0.0000 18.1474
Bi 0.0000 0.0000 3.2476
Bi 0.0000 0.0000 33.0472
```

total magnetic moment: 0.00 μB per formula unit
energy relative to the lowest polymorph listed for this composition: 203 meV/atom
E_tot: -4.712 eV per atom
energy of formation from the pure elements: 0.0012 eV per atom


Density functional theory data (PBE) for CaTa2Os after structural relaxation.

Cell and atoms, written as extended XYZ:
```
4
Lattice="-1.5624 2.4987 5.0586 1.5624 -2.4987 5.0586 1.5624 2.4987 -5.0586" Properties=species:S:1:pos:R:3 pbc="T T T"
Ca 0.0000 0.0000 0.0000
Ta 1.5624 0.0000 2.9092
Ta 0.0000 2.4987 2.1493
Os 0.0000 0.0000 5.0586
```

total magnetic moment: 0.00 μB per formula unit
energy relative to the lowest polymorph listed for this composition: 47 meV/atom
E_tot: -8.985 eV per atom
energy of formation from the pure elements: 0.2494 eV per atom


Density functional theory data (PBE) for Sr3MgSn3 after structural relaxation.

Cell and atoms, written as extended XYZ:
```
14
Lattice="6.1393 -2.5251 0.0000 6.1393 2.5251 0.0000 -5.6148 0.0000 14.9277" Properties=species:S:1:pos:R:3 pbc="T T T"
Sr -1.8479 0.0000 5.6515
Sr -3.9777 0.0000 13.7496
Sr 1.6977 0.0000 3.3487
Sr 4.9662 0.0000 11.5790
Sr 10.6416 0.0000 1.1782
Sr 8.5118 0.0000 9.2762
Mg -0.1161 0.0000 8.8507
Mg 6.7800 0.0000 6.0770
Sn 2.0264 0.0000 6.7452
Sn -0.4614 0.0000 13.8006
Sn 1.3795 0.0000 11.4342
Sn 5.2844 0.0000 3.4936
Sn 7.1253 0.0000 1.1271
Sn 4.6375 0.0000 8.1825
```

total magnetic moment: 0.00 μB per formula unit
energy relative to the lowest polymorph listed for this composition: 0 meV/atom
E_tot: -3.278 eV per atom
energy of formation from the pure elements: -0.6144 eV per atom


Density functional theory data (PBE) for CuHgPd2Cl after structural relaxation.

Cell and atoms, written as extended XYZ:
```
5
Lattice="4.4910 0.0000 0.0000 0.0000 4.4910 0.0000 0.0000 0.0000 5.8836" Properties=species:S:1:pos:R:3 pbc="T T T"
Cu 0.0000 0.0000 0.0000
Hg 2.2455 2.2455 0.0000
Pd 0.0000 2.2455 2.9418
Pd 2.2455 0.0000 2.9418
Cl 2.2455 2.2455 2.9418
```

total magnetic moment: 0.00 μB per formula unit
ΔE_f (raw): 0.6403 eV per atom
E_tot: -2.686 eV per atom


Density functional theory data (PBE) for CsNa2CaAu after structural relaxation.

Cell and atoms, written as extended XYZ:
```
5
Lattice="6.1022 0.0000 0.0000 0.0000 6.1022 0.0000 0.0000 0.0000 5.7507" Properties=species:S:1:pos:R:3 pbc="T T T"
Cs 0.0000 0.0000 0.0000
Na 0.0000 3.0511 2.8754
Na 3.0511 0.0000 2.8754
Ca 3.0511 3.0511 0.0000
Au 3.0511 3.0511 2.8754
```

total magnetic moment: 0.00 μB per formula unit
E_tot: -1.877 eV per atom
energy of formation from the pure elements: -0.1226 eV per atom


Density functional theory data (PBE) for Ta3Mn2Ru after structural relaxation.

Cell and atoms, written as extended XYZ:
```
6
Lattice="3.0901 0.0000 0.0000 0.0000 3.0901 0.0000 0.0000 0.0000 9.3615" Properties=species:S:1:pos:R:3 pbc="T T T"
Ta 0.0000 0.0000 0.0000
Ta 0.0000 0.0000 3.0187
Ta 0.0000 0.0000 6.3428
Mn 1.5450 1.5450 1.5441
Mn 1.5450 1.5450 7.8174
Ru 1.5450 1.5450 4.6807
```

total magnetic moment: 0.00 μB per formula unit
E_tot: -10.814 eV per atom
energy of formation from the pure elements: -0.2850 eV per atom


Number 1: DOS at the Fermi energy 3.52 states/eV/cell, ρ 9.49 g/cm³. Number 2: DOS at the Fermi energy 2.43 states/eV/cell, ρ 12.45 g/cm³. Number 3: DOS at the Fermi energy 3.96 states/eV/cell, ρ 4.62 g/cm³. Number 4: DOS at the Fermi energy 2.53 states/eV/cell, ρ 7.17 g/cm³. Number 5: DOS at the Fermi energy 3.86 states/eV/cell, ρ 3.23 g/cm³. Number 6: DOS at the Fermi energy 2.49 states/eV/cell, ρ 14.00 g/cm³.